No. 1
! CrRe2Ni PBE optimized geometry; values from VASP
&SYSTEM
  ibrav = 0, nat = 4, ntyp = 3
/
ATOMIC_SPECIES
Cr 52.00 Cr.upf
Re 186.21 Re.upf
Ni 58.69 Ni.upf
CELL_PARAMETERS angstrom
4.323 -1.355 0.000
4.323 1.355 0.000
-0.841 0.000 4.587
ATOMIC_POSITIONS angstrom
Cr 0.000 0.000 0.000
Re 1.531 0.000 3.430
Re 6.274 0.000 1.156
Ni 3.902 0.000 2.293
! DFT total energy in eV for the cell shown: -39.74
! Calculated formation energy in meV/atom: 140
! Symmetry: No. 12

No. 2
! CrRe2Ni PBE optimized geometry; values from VASP
&SYSTEM
  ibrav = 0, nat = 4, ntyp = 3
/
ATOMIC_SPECIES
Cr 52.00 Cr.upf
Re 186.21 Re.upf
Ni 58.69 Ni.upf
CELL_PARAMETERS angstrom
2.668 0.000 0.000
0.000 2.668 0.000
0.000 0.000 7.495
ATOMIC_POSITIONS angstrom
Cr 0.000 0.000 0.000
Re 0.000 0.000 3.587
Re 1.334 1.334 5.646
Ni 1.334 1.334 1.725
! DFT total energy in eV for the cell shown: -39.63
! Calculated formation energy in meV/atom: 167
! Symmetry: No. 99

No. 3
! Cr2ReNi2 PBE optimized geometry; values from VASP
&SYSTEM
  ibrav = 0, nat = 10, ntyp = 3
/
ATOMIC_SPECIES
Cr 52.00 Cr.upf
Re 186.21 Re.upf
Ni 58.69 Ni.upf
CELL_PARAMETERS angstrom
6.878 0.000 0.000
0.000 6.878 0.000
0.000 0.000 2.551
ATOMIC_POSITIONS angstrom
Cr 1.207 2.232 0.000
Cr 2.232 5.671 0.000
Cr 4.646 1.207 0.000
Cr 5.671 4.646 0.000
Re 0.000 0.000 1.275
Re 3.439 3.439 1.275
Ni 0.836 4.275 1.275
Ni 2.603 0.836 1.275
Ni 4.275 6.042 1.275
Ni 6.042 2.603 1.275
! DFT total energy in eV for the cell shown: -84.73
! Calculated formation energy in meV/atom: 178
! Symmetry: No. 127

What did we get for relative energy among the computed polymorphs? Answer: 114; 141; 0 meV/atom, in the order shown.
What did we get for size of the total moment? Answer: 0.00; 0.00; 0.00 μB per cell, in the order shown.